Record 1
First-principles (PBE-GGA) data for crystalline Dy3ZrRu4 at its relaxed geometry, as listed in the Alexandria database.

Its total DFT energy (no corrections) is -7.8550 eV per atom. The energy of formation from the pure elements comes out at -0.423 eV/atom.

The space group is P4/mmm (No. 123) and the conventional cell measures 3.355, 3.355 and 13.536 Å, with angles of 90.00, 90.00 and 90.00 degrees. The inequivalent atoms are Dy at (0.000, 0.000, 0.000), Dy at (0.000, 0.000, 0.251), Zr at (0.000, 0.000, 0.500), Ru at (0.500, 0.500, 0.128) and Ru at (0.500, 0.500, 0.385).

***

Record 2
First-principles (PBE-GGA) data for crystalline Sr4Mg3Pd2 at its relaxed geometry, as listed in the Alexandria database.

Its total DFT energy (no corrections) is -2.7902 eV per atom. The energy of formation from the pure elements comes out at -0.357 eV/atom.

The space group is C2/m (No. 12) and the conventional cell measures 17.484, 4.320 and 8.035 Å, with angles of 90.00, 109.98 and 90.00 degrees. The inequivalent atoms are Sr at (0.077, 0.000, 0.361), Sr at (0.228, 0.500, 0.187), Mg at (0.000, 0.500, 0.000), Mg at (0.095, 0.500, 0.740) and Pd at (0.095, 0.000, 0.953).

***

Record 3
First-principles (PBE-GGA) data for crystalline CsZr2Pd at its relaxed geometry, as listed in the Alexandria database.

Its total DFT energy (no corrections) is -5.0717 eV per atom. For the polymorph energy (0 for the lowest one), the calculation gives 0 meV/atom. The energy of formation from the pure elements comes out at 0.714 eV/atom.

The space group is Fm-3m (No. 225) and the conventional cell measures 7.115, 7.115 and 7.115 Å, with angles of 90.00, 90.00 and 90.00 degrees. The inequivalent atoms are Cs at (0.000, 0.000, 0.000), Zr at (0.250, 0.250, 0.250) and Pd at (0.000, 0.000, 0.500).

***

Record 4
First-principles (PBE-GGA) data for crystalline Ca3SiHg at its relaxed geometry, as listed in the Alexandria database.

Its total DFT energy (no corrections) is -2.7348 eV per atom. For the polymorph energy (0 for the lowest one), the calculation gives 0 meV/atom. The uncorrected formation energy is -0.39 eV/atom.

The space group is Cmcm (No. 63) and the conventional cell measures 5.220, 20.864 and 5.222 Å, with angles of 90.00, 90.00 and 90.00 degrees. The inequivalent atoms are Ca at (0.000, 0.074, 0.250), Ca at (0.000, 0.250, 0.250), Ca at (0.000, 0.425, 0.250), Si at (0.000, 0.339, 0.750) and Hg at (0.000, 0.157, 0.750).

***

Record 5
First-principles (PBE-GGA) data for crystalline MnReOs at its relaxed geometry, as listed in the Alexandria database.

Its total DFT energy (no corrections) is -10.6158 eV per atom. For the polymorph energy (0 for the lowest one), the calculation gives 260 meV/atom. The energy of formation from the pure elements comes out at 0.333 eV/atom.

The space group is Fmm2 (No. 42) and the conventional cell measures 2.958, 4.454 and 12.924 Å, with angles of 90.00, 90.00 and 90.00 degrees. The inequivalent atoms are Mn at (0.000, 0.000, 0.000), Re at (0.000, 0.000, 0.339) and Os at (0.000, 0.000, 0.663).

***

Record 6
First-principles (PBE-GGA) data for crystalline Hg3AsI at its relaxed geometry, as listed in the Alexandria database.

Its total DFT energy (no corrections) is -0.7019 eV per atom. For the polymorph energy (0 for the lowest one), the calculation gives 766 meV/atom. The uncorrected formation energy is 0.72 eV/atom.

The space group is Pm-3m (No. 221) and the conventional cell measures 6.562, 6.562 and 6.562 Å, with angles of 90.00, 90.00 and 90.00 degrees. The inequivalent atoms are Hg at (0.000, 0.000, 0.500), As at (0.500, 0.500, 0.500) and I at (0.000, 0.000, 0.000).

***

Record 7
First-principles (PBE-GGA) data for crystalline NdY4Te5 at its relaxed geometry, as listed in the Alexandria database.

Its total DFT energy (no corrections) is -5.9660 eV per atom. For the polymorph energy (0 for the lowest one), the calculation gives 2 meV/atom. The uncorrected formation energy is -1.33 eV/atom.

The space group is I4/mmm (No. 139) and the conventional cell measures 4.368, 4.368 and 31.475 Å, with angles of 90.00, 90.00 and 90.00 degrees. The inequivalent atoms are Nd at (0.000, 0.000, 0.000), Y at (0.000, 0.000, 0.208), Y at (0.000, 0.000, 0.405), Te at (0.000, 0.000, 0.105), Te at (0.000, 0.000, 0.305) and Te at (0.000, 0.000, 0.500).

***

Record 8
First-principles (PBE-GGA) data for crystalline SrOsPt2 at its relaxed geometry, as listed in the Alexandria database.

Its total DFT energy (no corrections) is -6.1232 eV per atom. For the polymorph energy (0 for the lowest one), the calculation gives 93 meV/atom. The energy of formation from the pure elements comes out at 0.125 eV/atom.

The space group is Cm (No. 8) and the conventional cell measures 9.545, 2.876 and 5.680 Å, with angles of 90.00, 99.24 and 90.00 degrees. The inequivalent atoms are Sr at (0.000, 0.000, 0.000), Os at (0.241, 0.000, 0.650), Pt at (0.005, 0.500, 0.524) and Pt at (0.260, 0.500, 0.272).

***

Record 9
First-principles (PBE-GGA) data for crystalline TaTc at its relaxed geometry, as listed in the Alexandria database.

Its total DFT energy (no corrections) is -11.1433 eV per atom. The energy of formation from the pure elements comes out at -0.034 eV/atom.

The space group is Cmme (No. 67) and the conventional cell measures 3.188, 4.620 and 8.902 Å, with angles of 90.00, 90.00 and 90.00 degrees. The inequivalent atoms are Ta at (0.000, 0.250, 0.135) and Tc at (0.000, 0.250, 0.620).

***

Record 10
First-principles (PBE-GGA) data for crystalline Ni3SCl at its relaxed geometry, as listed in the Alexandria database.

Its total DFT energy (no corrections) is -3.9649 eV per atom. For the polymorph energy (0 for the lowest one), the calculation gives 473 meV/atom. The uncorrected formation energy is 0.70 eV/atom.

The space group is Pm-3m (No. 221) and the conventional cell measures 4.204, 4.204 and 4.204 Å, with angles of 90.00, 90.00 and 90.00 degrees. The inequivalent atoms are Ni at (0.000, 0.000, 0.500), S at (0.500, 0.500, 0.500) and Cl at (0.000, 0.000, 0.000).

***

Record 11
First-principles (PBE-GGA) data for crystalline Dy3Y2ThS6 at its relaxed geometry, as listed in the Alexandria database.

Its total DFT energy (no corrections) is -6.8679 eV per atom. The uncorrected formation energy is -1.96 eV/atom.

The space group is C2/m (No. 12) and the conventional cell measures 17.143, 3.929 and 7.890 Å, with angles of 90.00, 103.26 and 90.00 degrees. The inequivalent atoms are Dy at (0.000, 0.000, 0.000), Dy at (0.164, 0.500, 0.334), Y at (0.165, 0.500, 0.830), Th at (0.000, 0.000, 0.500), S at (0.000, 0.500, 0.239), S at (0.168, 0.000, 0.084) and S at (0.172, 0.000, 0.585).

***

Record 12
First-principles (PBE-GGA) data for crystalline ErSbSeO2 at its relaxed geometry, as listed in the Alexandria database.

Its total DFT energy (no corrections) is -6.4293 eV per atom. The uncorrected formation energy is -2.01 eV/atom.

The space group is P2_1/m (No. 11) and the conventional cell measures 6.459, 3.942 and 7.596 Å, with angles of 90.00, 105.09 and 90.00 degrees. The inequivalent atoms are Er at (0.191, 0.250, 0.426), Sb at (0.180, 0.250, 0.904), Se at (0.436, 0.750, 0.704), O at (0.006, 0.750, 0.884) and O at (0.017, 0.750, 0.365).

***

What did the fourth record say?
First-principles (PBE-GGA) data for crystalline Ca3SiHg at its relaxed geometry, as listed in the Alexandria database.

Its total DFT energy (no corrections) is -2.7348 eV per atom. For the polymorph energy (0 for the lowest one), the calculation gives 0 meV/atom. The uncorrected formation energy is -0.39 eV/atom.

The space group is Cmcm (No. 63) and the conventional cell measures 5.220, 20.864 and 5.222 Å, with angles of 90.00, 90.00 and 90.00 degrees. The inequivalent atoms are Ca at (0.000, 0.074, 0.250), Ca at (0.000, 0.250, 0.250), Ca at (0.000, 0.425, 0.250), Si at (0.000, 0.339, 0.750) and Hg at (0.000, 0.157, 0.750).